Record 1
Ac2HoAlAu6 | PBE-GGA | relaxed

Cell lengths 6.0235, 6.2299, 7.5428 Å; angles 93.64, 106.77, 107.87 degrees
Last column: nearest neighbours and their distance in Å.
Sites, in units of the cell vectors:
Ac  0.0051  0.1988  0.2694  7 Au 3.09-3.30
Ac  0.9949  0.8012  0.7306  7 Au 3.09-3.30
Ho  0.5000  0.5000  0.0000  6 Au 2.94-3.15
Al  0.5000  0.0000  0.5000  6 Au 2.57-2.85
Au  0.0161  0.7074  0.2792  1 Al 2.85, 3 Au 2.86-3.13, 1 Ho 3.03, 2 Ac 3.09-3.14
Au  0.3893  0.5991  0.6148  1 Al 2.65, 2 Au 2.89-2.95, 1 Ho 2.94
Au  0.4047  0.9392  0.1415  1 Al 2.57, 2 Au 2.74-2.86
Au  0.5953  0.0608  0.8585  1 Al 2.57, 2 Au 2.74-2.86
Au  0.6107  0.4009  0.3852  1 Al 2.65, 2 Au 2.89-2.95, 1 Ho 2.94
Au  0.9839  0.2926  0.7208  1 Al 2.85, 3 Au 2.86-3.13, 1 Ho 3.03, 2 Ac 3.09-3.14

Properties
Energy of formation, eV/atom: -0.6235

***

Record 2
SrY2PbN | PBE-GGA | relaxed

Cell lengths 4.8555, 4.8555, 5.2237 Å; angles 90.00, 90.00, 90.00 degrees
Last column: nearest neighbours and their distance in Å.
Sites, in units of the cell vectors:
Sr  0.0000  0.0000  0.0000  2 N 2.61
Y  0.0000  0.5000  0.5000  2 N 2.43
Y  0.5000  0.0000  0.5000  2 N 2.43
Pb  0.5000  0.5000  0.0000  4 Sr 3.43, 8 Y 3.57
N  0.0000  0.0000  0.5000  4 Y 2.43, 2 Sr 2.61

Properties
ΔE_f (raw), eV per atom: -0.85
ΔE to the lowest computed polymorph, meV per atom: 0

***

Record 3
Mn2TlCu | PBE-GGA | relaxed

Cell lengths 4.7281, 4.7281, 5.0683 Å; angles 101.74, 101.74, 37.04 degrees
Last column: nearest neighbours and their distance in Å.
Sites, in units of the cell vectors:
Mn  0.2399  0.2399  0.2193  3 Cu 2.66-2.79, 2 Mn 2.72, 3 Tl 2.82-2.88
Mn  0.7601  0.7601  0.7807  3 Cu 2.66-2.79, 2 Mn 2.72, 3 Tl 2.82-2.88
Tl  0.0000  0.0000  0.5000  6 Mn 2.82-2.88, 4 Cu 2.95, 2 Tl 3.00
Cu  0.5000  0.5000  0.0000  6 Mn 2.66-2.79, 4 Tl 2.95

Properties
Energy of formation, eV/atom: 0.4689

***

Record 4
La2Nd4In | PBE-GGA | relaxed

Cell lengths 4.8818, 4.8818, 11.1732 Å; angles 90.00, 90.00, 90.00 degrees
Last column: nearest neighbours and their distance in Å.
Sites, in units of the cell vectors:
La  0.0000  0.5000  0.0000  4 La 3.45, 4 Nd 3.50
La  0.5000  0.0000  0.0000  4 La 3.45, 4 Nd 3.50
Nd  0.2426  0.2426  0.7279  1 In 3.11, 3 Nd 3.35-3.45
Nd  0.2426  0.7574  0.2721  1 In 3.11, 3 Nd 3.35-3.45
Nd  0.7574  0.2426  0.2721  1 In 3.11, 3 Nd 3.35-3.45
Nd  0.7574  0.7574  0.7279  1 In 3.11, 3 Nd 3.35-3.45
In  0.5000  0.5000  0.5000  4 Nd 3.11

Properties
Energy of formation, eV/atom: 0.3742
ΔE to the lowest computed polymorph, meV per atom: 336

***

Record 5
Tc2TeSe | PBE-GGA | relaxed

Cell lengths 4.6625, 4.6625, 4.6625 Å; angles 60.00, 60.00, 60.00 degrees
Last column: nearest neighbours and their distance in Å.
Sites, in units of the cell vectors:
Tc  0.0000  0.0000  0.0000  4 Te 2.86, 4 Tc 2.86
Tc  0.2500  0.2500  0.2500  4 Se 2.86, 4 Tc 2.86
Te  0.7500  0.7500  0.7500  4 Se 2.86, 4 Tc 2.86
Se  0.5000  0.5000  0.5000  4 Te 2.86, 4 Tc 2.86

Properties
ΔE_f (raw), eV per atom: 0.85
ΔE to the lowest computed polymorph, meV per atom: 859

***

Record 6
Zr2Ga2Cu3 | PBE-GGA | relaxed

Cell lengths 9.5127, 9.5127, 3.0453 Å; angles 90.00, 90.00, 155.28 degrees
Last column: nearest neighbours and their distance in Å.
Sites, in units of the cell vectors:
Zr  0.1482  0.8518  0.0000  5 Cu 2.75-2.98, 6 Ga 2.79-3.04, 2 Zr 3.05
Zr  0.8518  0.1482  0.0000  5 Cu 2.75-2.98, 6 Ga 2.79-3.04, 2 Zr 3.05
Ga  0.2897  0.7103  0.5000  2 Ga 2.51, 1 Cu 2.70, 4 Zr 2.79
Ga  0.7103  0.2897  0.5000  2 Ga 2.51, 1 Cu 2.70, 4 Zr 2.79
Cu  0.0000  0.0000  0.0000  2 Zr 2.75, 10 Cu 2.81-3.05
Cu  0.4351  0.5649  0.5000  1 Cu 2.41, 1 Ga 2.70
Cu  0.5649  0.4351  0.5000  1 Cu 2.41, 1 Ga 2.70

Properties
Energy of formation, eV/atom: -0.1362
ΔE to the lowest computed polymorph, meV per atom: 82

***

Record 7
DyTh2Si3Ni12 | PBE-GGA | relaxed

Cell lengths 7.6126, 7.6126, 7.6126 Å; angles 58.52, 58.52, 58.52 degrees
Last column: nearest neighbours and their distance in Å.
Sites, in units of the cell vectors:
Dy  0.0000  0.0000  0.0000  6 Ni 2.88
Th  0.3998  0.3998  0.3998  6 Ni 2.62-2.66
Th  0.6002  0.6002  0.6002  6 Ni 2.62-2.66
Si  0.0000  0.0000  0.5000  6 Ni 2.17-2.31
Si  0.0000  0.5000  0.0000  6 Ni 2.17-2.31
Si  0.5000  0.0000  0.0000  6 Ni 2.17-2.31
Ni  0.1187  0.6454  0.6454  2 Si 2.17
Ni  0.1642  0.1642  0.5275  1 Si 2.31, 2 Ni 2.49
Ni  0.1642  0.5275  0.1642  1 Si 2.31, 2 Ni 2.49
Ni  0.3546  0.3546  0.8813  2 Si 2.17
Ni  0.3546  0.8813  0.3546  2 Si 2.17
Ni  0.4725  0.8358  0.8358  1 Si 2.31, 2 Ni 2.49
Ni  0.5275  0.1642  0.1642  1 Si 2.31, 2 Ni 2.49
Ni  0.6454  0.1187  0.6454  2 Si 2.17
Ni  0.6454  0.6454  0.1187  2 Si 2.17
Ni  0.8358  0.4725  0.8358  1 Si 2.31, 2 Ni 2.49
Ni  0.8358  0.8358  0.4725  1 Si 2.31, 2 Ni 2.49
Ni  0.8813  0.3546  0.3546  2 Si 2.17

Properties
ΔE_f (raw), eV per atom: -0.06

***

Record 8
CoSiPt2 | PBE-GGA | relaxed

Cell lengths 4.5523, 4.5523, 4.6458 Å; angles 105.05, 105.05, 37.19 degrees
Last column: nearest neighbours and their distance in Å.
Sites, in units of the cell vectors:
Co  0.0000  0.0000  0.0000  6 Pt 2.60-2.71, 4 Si 2.74, 2 Co 2.90
Si  0.5000  0.5000  0.5000  4 Pt 2.49, 4 Co 2.74
Pt  0.2329  0.2329  0.7446  2 Si 2.49, 3 Co 2.60-2.71, 4 Pt 2.73-2.78
Pt  0.7671  0.7671  0.2554  2 Si 2.49, 3 Co 2.60-2.71, 4 Pt 2.73-2.78

Properties
ΔE_f (raw), eV per atom: -0.22

***

no.,calculated total energy (eV per atom)
1,-4.244
2,-6.182
3,-5.731
4,-4.149
5,-5.993
6,-5.199
7,-5.897
8,-6.372